[1]
Material: PuGeBi2
Method: DFT, PBE
State: relaxed

Cell: 4.7881 4.7188 4.7188 Å, 90.00 90.00 90.00°
Fractional positions:
Ge 0.5000 0.0000 0.0000
Bi 0.0000 0.0000 0.5000
Bi 0.0000 0.5000 0.0000
Pu 0.5000 0.5000 0.5000

The value obtained for the excess energy over the best structure of this formula in the dataset is 0.0 meV/atom. As for the formation energy: -188 meV per atom.

***

[2]
Material: PuGe2Bi
Method: DFT, PBE
State: relaxed

Cell: 5.2029 5.2029 5.1367 Å, 59.57 59.57 60.00°
Fractional positions:
Pu 0.5000 0.5000 0.5000
Ge 0.7489 0.7489 0.7533
Ge 0.2511 0.2511 0.2467
Bi 0.0000 0.0000 0.0000

The value obtained for the excess energy over the best structure of this formula in the dataset is 223.9 meV/atom. As for the formation energy: -4 meV per atom.

***

[3]
Material: Pu5Ge2Bi2
Method: DFT, PBE
State: relaxed

Cell: 8.0081 8.0103 8.7028 Å, 117.40 90.00 90.00°
Fractional positions:
Pu 0.1818 0.4441 0.2504
Pu 0.6818 0.3062 0.2504
Pu 0.6818 0.0559 0.7496
Pu 0.8182 0.5559 0.7496
Pu 0.5000 0.5000 0.0000
Pu 0.0000 0.0000 0.0000
Pu 0.3182 0.9441 0.2504
Pu 0.3182 0.6938 0.7496
Pu 0.8182 0.8062 0.2504
Pu 0.1818 0.1938 0.7496
Bi 0.5000 0.2846 0.5692
Bi 0.5000 0.7154 0.4308
Bi 0.0000 0.2154 0.4308
Bi 0.0000 0.7846 0.5692
Ge 0.6150 0.8851 0.0000
Ge 0.3850 0.1149 0.0000
Ge 0.8850 0.3851 0.0000
Ge 0.1150 0.6149 0.0000

As for the formation energy: -394 meV per atom.

***

[4]
Material: PuGeBi
Method: DFT, PBE
State: relaxed

Cell: 4.8857 4.8857 3.9170 Å, 90.00 90.00 120.00°
Fractional positions:
Ge 0.6667 0.3333 0.3650
Pu 0.0000 0.0000 0.0472
Bi 0.3333 0.6667 0.5879

The value obtained for the excess energy over the best structure of this formula in the dataset is 249.2 meV/atom. As for the formation energy: -76 meV per atom.

***

[5]
Material: Pu2Ge2Bi
Method: DFT, PBE
State: relaxed

Cell: 4.0186 4.1265 7.7122 Å, 105.52 90.00 90.00°
Fractional positions:
Bi 0.0000 0.0000 0.0000
Pu 0.5000 0.6308 0.2617
Pu 0.5000 0.3692 0.7383
Ge 0.0000 0.1997 0.3995
Ge 0.0000 0.8003 0.6005

As for the formation energy: -372 meV per atom.

***

[6]
Material: Pu6Ge2Bi
Method: DFT, PBE
State: relaxed

Cell: 3.3044 8.7899 8.7899 Å, 120.00 90.00 90.00°
Fractional positions:
Pu 0.5000 0.6602 0.6602
Pu 0.5000 0.0000 0.3397
Pu 0.5000 0.3397 0.0000
Pu 0.5000 0.6602 0.0000
Pu 0.5000 0.3397 0.3397
Pu 0.5000 0.0000 0.6602
Bi 0.0000 0.0000 0.0000
Ge 0.0000 0.6667 0.3333
Ge 0.0000 0.3333 0.6667

As for the formation energy: -56 meV per atom.